Version w
A geometry-optimized BOsW structure, computed with PBE.

Cell: 4.008 4.008 4.008 Å, 60.00 60.00 60.00°
Atoms (fractional coordinates):
1 B 0.000 0.000 0.000
2 Os 0.250 0.250 0.250
3 W 0.500 0.500 0.500

## Properties
The calculation puts the total magnetization at 0.0 μB/cell. As for the volume: 45.5 Å³/cell. Its crystal system is cubic.

Version x
A geometry-optimized BOsW structure, computed with PBE.

Cell: 4.025 4.025 4.025 Å, 60.00 60.00 60.00°
Atoms (fractional coordinates):
1 B 0.000 0.000 0.000
2 Os 0.500 0.500 0.500
3 W 0.250 0.250 0.250

## Properties
The calculation puts the total magnetization at 0.0 μB/cell. As for the volume: 46.1 Å³/cell. Its crystal system is cubic.

Name the most stable of them. version w.

Version w
A geometry-optimized YB4Os structure, computed with PBE.

Cell: 4.728 4.728 4.728 Å, 140.76 111.21 82.16°
Atoms (fractional coordinates):
1 Y 0.000 0.000 0.000
2 B 0.083 0.749 0.334
3 B 0.415 0.749 0.666
4 B 0.585 0.251 0.334
5 B 0.917 0.251 0.666
6 Os 0.500 0.500 0.000

## Properties
The calculation puts the total magnetization at 0.0 μB/cell. As for the volume: 60.4 Å³/cell. Its crystal system is orthorhombic.

Version x
A geometry-optimized YB4Os structure, computed with PBE.

Cell: 5.970 11.549 3.565 Å, 90.00 90.00 90.00°
Atoms (fractional coordinates):
1 Y 0.128 0.150 0.000
2 Y 0.372 0.650 0.000
3 Y 0.628 0.350 0.000
4 Y 0.872 0.850 0.000
5 B 0.026 0.691 0.500
6 B 0.112 0.547 0.500
7 B 0.136 0.970 0.500
8 B 0.211 0.814 0.500
9 B 0.289 0.314 0.500
10 B 0.364 0.470 0.500
11 B 0.388 0.047 0.500
12 B 0.474 0.191 0.500
13 B 0.526 0.809 0.500
14 B 0.612 0.953 0.500
15 B 0.636 0.530 0.500
16 B 0.711 0.686 0.500
17 B 0.789 0.186 0.500
18 B 0.864 0.030 0.500
19 B 0.888 0.453 0.500
20 B 0.974 0.309 0.500
21 Os 0.140 0.407 0.000
22 Os 0.360 0.907 0.000
23 Os 0.640 0.093 0.000
24 Os 0.860 0.593 0.000

## Properties
The calculation puts the total magnetization at 0.0 μB/cell. As for the volume: 245.8 Å³/cell. Its crystal system is orthorhombic.

Name the most stable of them. version x.

Version w
A geometry-optimized YBOs structure, computed with PBE.

Cell: 4.397 4.397 4.397 Å, 60.00 60.00 60.00°
Atoms (fractional coordinates):
1 Y 0.000 0.000 0.000
2 B 0.750 0.750 0.750
3 Os 0.250 0.250 0.250

## Properties
The calculation puts the total magnetization at 0.0 μB/cell. As for the volume: 60.1 Å³/cell. Its crystal system is cubic.

Version x
A geometry-optimized YBOs structure, computed with PBE.

Cell: 4.098 4.098 4.098 Å, 60.00 60.00 60.00°
Atoms (fractional coordinates):
1 Y 0.000 0.000 0.000
2 B 0.750 0.750 0.750
3 Os 0.500 0.500 0.500

## Properties
The calculation puts the total magnetization at 0.0 μB/cell. As for the volume: 48.7 Å³/cell. Its crystal system is cubic.

Name the most stable of them. version x.

Version w
A geometry-optimized ZnB4Os structure, computed with PBE.

Cell: 4.524 4.524 4.524 Å, 141.44 109.70 83.17°
Atoms (fractional coordinates):
1 Zn 0.000 0.000 0.000
2 B 0.081 0.743 0.338
3 B 0.406 0.743 0.662
4 B 0.594 0.257 0.338
5 B 0.919 0.257 0.662
6 Os 0.500 0.500 0.000

## Properties
The calculation puts the total magnetization at 0.0 μB/cell. As for the volume: 52.7 Å³/cell. Its crystal system is orthorhombic.

Version x
A geometry-optimized ZnB4Os structure, computed with PBE.

Cell: 2.980 2.980 7.066 Å, 90.00 90.00 120.00°
Atoms (fractional coordinates):
1 Zn 0.000 0.000 0.000
2 B 0.333 0.667 0.255
3 B 0.333 0.667 0.745
4 B 0.667 0.333 0.255
5 B 0.667 0.333 0.745
6 Os 0.000 0.000 0.500

## Properties
The calculation puts the total magnetization at 0.0 μB/cell. As for the volume: 54.4 Å³/cell. Its crystal system is hexagonal.

Name the most stable of them. version w.

Version w
A geometry-optimized ZrBOs structure, computed with PBE.

Cell: 4.230 4.230 4.230 Å, 60.00 60.00 60.00°
Atoms (fractional coordinates):
1 Zr 0.000 0.000 0.000
2 B 0.750 0.750 0.750
3 Os 0.250 0.250 0.250

## Properties
The calculation puts the total magnetization at 0.0 μB/cell. As for the volume: 53.5 Å³/cell. Its crystal system is cubic.

Version x
A geometry-optimized ZrBOs structure, computed with PBE.

Cell: 4.166 4.166 4.166 Å, 60.00 60.00 60.00°
Atoms (fractional coordinates):
1 Zr 0.000 0.000 0.000
2 B 0.500 0.500 0.500
3 Os 0.750 0.750 0.750

## Properties
The calculation puts the total magnetization at 0.0 μB/cell. As for the volume: 51.1 Å³/cell. Its crystal system is cubic.

Name the most stable of them. version x.

Version w
A geometry-optimized PaBPd structure, computed with PBE.

Cell: 4.201 4.201 4.201 Å, 60.00 60.00 60.00°
Atoms (fractional coordinates):
1 Pa 0.000 0.000 0.000
2 B 0.250 0.250 0.250
3 Pd 0.500 0.500 0.500

## Properties
The calculation puts the total magnetization at 0.0 μB/cell. As for the volume: 52.4 Å³/cell. Its crystal system is cubic.

Version x
A geometry-optimized PaBPd structure, computed with PBE.

Cell: 4.442 4.442 4.442 Å, 60.00 60.00 60.00°
Atoms (fractional coordinates):
1 Pa 0.000 0.000 0.000
2 B 0.750 0.750 0.750
3 Pd 0.250 0.250 0.250

## Properties
The calculation puts the total magnetization at 0.0 μB/cell. As for the volume: 62.0 Å³/cell. Its crystal system is cubic.

Version y
A geometry-optimized PaBPd structure, computed with PBE.

Cell: 4.363 4.363 4.363 Å, 60.00 60.00 60.00°
Atoms (fractional coordinates):
1 Pa 0.000 0.000 0.000
2 B 0.500 0.500 0.500
3 Pd 0.750 0.750 0.750

## Properties
The calculation puts the total magnetization at 0.0 μB/cell. As for the volume: 58.7 Å³/cell. Its crystal system is cubic.

Name the most stable of them. version w.

Version w
A geometry-optimized PaBPt structure, computed with PBE.

Cell: 4.467 4.467 4.467 Å, 60.00 60.00 60.00°
Atoms (fractional coordinates):
1 Pa 0.000 0.000 0.000
2 B 0.750 0.750 0.750
3 Pt 0.250 0.250 0.250

## Properties
The calculation puts the total magnetization at 0.0 μB/cell. As for the volume: 63.0 Å³/cell. Its crystal system is cubic.

Version x
A geometry-optimized PaBPt structure, computed with PBE.

Cell: 4.403 4.403 4.403 Å, 60.00 60.00 60.00°
Atoms (fractional coordinates):
1 Pa 0.000 0.000 0.000
2 B 0.500 0.500 0.500
3 Pt 0.750 0.750 0.750

## Properties
The calculation puts the total magnetization at 0.0 μB/cell. As for the volume: 60.4 Å³/cell. Its crystal system is cubic.

Version y
A geometry-optimized PaBPt structure, computed with PBE.

Cell: 4.200 4.200 4.200 Å, 60.00 60.00 60.00°
Atoms (fractional coordinates):
1 Pa 0.000 0.000 0.000
2 B 0.250 0.250 0.250
3 Pt 0.500 0.500 0.500

## Properties
The calculation puts the total magnetization at 0.0 μB/cell. As for the volume: 52.4 Å³/cell. Its crystal system is cubic.

Name the most stable of them. version y.

Version w
A geometry-optimized PaReB structure, computed with PBE.

Cell: 4.349 4.349 4.349 Å, 60.00 60.00 60.00°
Atoms (fractional coordinates):
1 Pa 0.000 0.000 0.000
2 Re 0.250 0.250 0.250
3 B 0.750 0.750 0.750

## Properties
The calculation puts the total magnetization at 0.0 μB/cell. As for the volume: 58.2 Å³/cell. Its crystal system is cubic.

Version x
A geometry-optimized PaReB structure, computed with PBE.

Cell: 4.156 4.156 4.156 Å, 60.00 60.00 60.00°
Atoms (fractional coordinates):
1 Pa 0.000 0.000 0.000
2 Re 0.500 0.500 0.500
3 B 0.250 0.250 0.250

## Properties
The calculation puts the total magnetization at 0.0 μB/cell. As for the volume: 50.8 Å³/cell. Its crystal system is cubic.

Name the most stable of them. version x.